[1]
First-principles (PBE-GGA) data for crystalline Cs5AsCl at its relaxed geometry, as listed in Alexandria via LeMat-Bulk.

a = 9.4358 Å, b = 17.9090 Å, c = 12.3114 Å
α = 90.00°, β = 107.92°, γ = 90.00°
Atoms (fractional coordinates):
Cs1 0.0884 0.1004 0.0626
Cs2 0.0884 0.3996 0.5626
Cs3 0.1284 0.0935 0.4875
Cs4 0.1284 0.4065 0.9875
Cs5 0.2836 0.6325 0.8317
Cs6 0.2836 0.8675 0.3317
Cs7 0.2991 0.1850 0.8251
Cs8 0.2991 0.3150 0.3251
Cs9 0.3599 0.5906 0.3101
Cs10 0.3599 0.9094 0.8101
Cs11 0.6401 0.0906 0.1899
Cs12 0.6401 0.4094 0.6899
Cs13 0.7009 0.6850 0.6749
Cs14 0.7009 0.8150 0.1749
Cs15 0.7164 0.1325 0.6683
Cs16 0.7164 0.3675 0.1683
Cs17 0.8716 0.5935 0.0125
Cs18 0.8716 0.9065 0.5125
Cs19 0.9116 0.6004 0.4374
Cs20 0.9116 0.8996 0.9374
As1 0.0500 0.0291 0.7598
As2 0.0500 0.4709 0.2598
As3 0.9500 0.5291 0.7402
As4 0.9500 0.9709 0.2402
Cl1 0.3795 0.2445 0.0974
Cl2 0.3795 0.2555 0.5974
Cl3 0.6205 0.7445 0.4026
Cl4 0.6205 0.7555 0.9026

Calculated values
- ΔE_f (raw) (meV per atom) = -683
- space group = No. 14

***

[2]
First-principles (PBE-GGA) data for crystalline Cs3As2Cl8 at its relaxed geometry, as listed in Alexandria via LeMat-Bulk.

a = 7.8835 Å, b = 7.8835 Å, c = 9.9933 Å
α = 113.22°, β = 113.22°, γ = 60.34°
Atoms (fractional coordinates):
Cs1 0.0000 0.0000 0.0000
Cs2 0.2201 0.2201 0.6621
Cs3 0.7799 0.7799 0.3379
As1 0.4441 0.4441 0.3312
As2 0.5559 0.5559 0.6688
Cl1 0.2007 0.7351 0.6689
Cl2 0.2649 0.7993 0.3311
Cl3 0.2667 0.2667 0.3321
Cl4 0.3481 0.3481 0.0457
Cl5 0.6519 0.6519 0.9543
Cl6 0.7333 0.7333 0.6679
Cl7 0.7351 0.2007 0.6689
Cl8 0.7993 0.2649 0.3311

Calculated values
- ΔE_f (raw) (meV per atom) = -1185
- space group = No. 12

***

[3]
First-principles (PBE-GGA) data for crystalline Cs3AsCl8 at its relaxed geometry, as listed in Alexandria via LeMat-Bulk.

a = 9.3592 Å, b = 9.3592 Å, c = 9.3592 Å
α = 131.08°, β = 131.08°, γ = 71.68°
Atoms (fractional coordinates):
Cs1 0.0000 0.0000 0.0000
Cs2 0.2500 0.7500 0.5000
Cs3 0.7500 0.2500 0.5000
As1 0.5000 0.5000 0.0000
Cl1 0.1946 0.1946 0.5956
Cl2 0.1946 0.5990 0.0000
Cl3 0.4010 0.4010 0.5956
Cl4 0.4010 0.8054 0.0000
Cl5 0.5990 0.1946 0.0000
Cl6 0.5990 0.5990 0.4044
Cl7 0.8054 0.4010 0.0000
Cl8 0.8054 0.8054 0.4044

Calculated values
- ΔE_f (raw) (meV per atom) = -970
- space group = No. 139

***

[4]
First-principles (PBE-GGA) data for crystalline Cs12As3Cl5 at its relaxed geometry, as listed in Alexandria via LeMat-Bulk.

a = 18.0177 Å, b = 18.0177 Å, c = 18.0177 Å
α = 109.47°, β = 109.47°, γ = 109.47°
Atoms (fractional coordinates):
Cs1 0.0501 0.2214 0.1380
Cs2 0.0501 0.3287 0.9121
Cs3 0.0834 0.7214 0.6713
Cs4 0.0834 0.8620 0.4121
Cs5 0.0879 0.6380 0.4166
Cs6 0.0879 0.9499 0.6713
Cs7 0.1380 0.0501 0.2214
Cs8 0.1380 0.5879 0.9166
Cs9 0.1713 0.2214 0.5834
Cs10 0.1713 0.4499 0.5879
Cs11 0.2214 0.1380 0.0501
Cs12 0.2214 0.5834 0.1713
Cs13 0.2786 0.3287 0.9166
Cs14 0.2786 0.4499 0.3620
Cs15 0.3287 0.9121 0.0501
Cs16 0.3287 0.9166 0.2786
Cs17 0.3620 0.2786 0.4499
Cs18 0.3620 0.5834 0.9121
Cs19 0.4121 0.0834 0.8620
Cs20 0.4121 0.8287 0.5501
Cs21 0.4166 0.0879 0.6380
Cs22 0.4166 0.8287 0.7786
Cs23 0.4499 0.3620 0.2786
Cs24 0.4499 0.5879 0.1713
Cs25 0.5501 0.4121 0.8287
Cs26 0.5501 0.6380 0.7214
Cs27 0.5834 0.1713 0.2214
Cs28 0.5834 0.9121 0.3620
Cs29 0.5879 0.1713 0.4499
Cs30 0.5879 0.9166 0.1380
Cs31 0.6380 0.4166 0.0879
Cs32 0.6380 0.7214 0.5501
Cs33 0.6713 0.0834 0.7214
Cs34 0.6713 0.0879 0.9499
Cs35 0.7214 0.5501 0.6380
Cs36 0.7214 0.6713 0.0834
Cs37 0.7786 0.4166 0.8287
Cs38 0.7786 0.8620 0.9499
Cs39 0.8287 0.5501 0.4121
Cs40 0.8287 0.7786 0.4166
Cs41 0.8620 0.4121 0.0834
Cs42 0.8620 0.9499 0.7786
Cs43 0.9121 0.0501 0.3287
Cs44 0.9121 0.3620 0.5834
Cs45 0.9166 0.1380 0.5879
Cs46 0.9166 0.2786 0.3287
Cs47 0.9499 0.6713 0.0879
Cs48 0.9499 0.7786 0.8620
As1 0.1250 0.2500 0.3750
As2 0.1250 0.3750 0.7500
As3 0.2500 0.3750 0.1250
As4 0.2500 0.8750 0.6250
As5 0.3750 0.1250 0.2500
As6 0.3750 0.7500 0.1250
As7 0.6250 0.2500 0.8750
As8 0.6250 0.8750 0.7500
As9 0.7500 0.1250 0.3750
As10 0.7500 0.6250 0.8750
As11 0.8750 0.6250 0.2500
As12 0.8750 0.7500 0.6250
Cl1 0.0000 0.0000 0.0000
Cl2 0.0000 0.0000 0.5000
Cl3 0.0000 0.5000 0.0000
Cl4 0.0000 0.5000 0.5000
Cl5 0.1250 0.7500 0.8750
Cl6 0.1250 0.8750 0.2500
Cl7 0.2500 0.1250 0.8750
Cl8 0.2500 0.6250 0.3750
Cl9 0.3750 0.2500 0.6250
Cl10 0.3750 0.6250 0.7500
Cl11 0.5000 0.0000 0.0000
Cl12 0.5000 0.0000 0.5000
Cl13 0.5000 0.5000 0.0000
Cl14 0.5000 0.5000 0.5000
Cl15 0.6250 0.3750 0.2500
Cl16 0.6250 0.7500 0.3750
Cl17 0.7500 0.3750 0.6250
Cl18 0.7500 0.8750 0.1250
Cl19 0.8750 0.1250 0.7500
Cl20 0.8750 0.2500 0.1250

Calculated values
- ΔE_f (raw) (meV per atom) = -1047
- space group = No. 230

***

[5]
First-principles (PBE-GGA) data for crystalline Cs2AsCl5 at its relaxed geometry, as listed in Alexandria via LeMat-Bulk.

a = 7.3553 Å, b = 7.3553 Å, c = 7.3553 Å
α = 115.01°, β = 115.01°, γ = 98.88°
Atoms (fractional coordinates):
Cs1 0.0000 0.5000 0.5000
Cs2 0.5000 0.0000 0.5000
As1 0.2621 0.2621 0.0000
Cl1 0.0245 0.0245 0.5499
Cl2 0.0245 0.4746 0.0000
Cl3 0.4746 0.0245 0.0000
Cl4 0.4746 0.4746 0.4501
Cl5 0.4961 0.4961 0.0000

Calculated values
- ΔE_f (raw) (meV per atom) = -1391
- space group = No. 107

***

[6]
First-principles (PBE-GGA) data for crystalline Cs4AsCl at its relaxed geometry, as listed in Alexandria via LeMat-Bulk.

a = 9.8282 Å, b = 9.8282 Å, c = 8.4518 Å
α = 108.87°, β = 108.87°, γ = 109.92°
Atoms (fractional coordinates):
Cs1 0.0526 0.6985 0.9319
Cs2 0.2543 0.3554 0.7524
Cs3 0.3015 0.9474 0.5681
Cs4 0.3554 0.2543 0.2524
Cs5 0.6446 0.7457 0.7476
Cs6 0.6985 0.0526 0.4319
Cs7 0.7457 0.6446 0.2476
Cs8 0.9474 0.3015 0.0681
As1 0.3642 0.6358 0.2500
As2 0.6358 0.3642 0.7500
Cl1 0.0127 0.9873 0.7500
Cl2 0.9873 0.0127 0.2500

Calculated values
- ΔE_f (raw) (meV per atom) = -816
- space group = No. 15

***

[7]
First-principles (PBE-GGA) data for crystalline Cs3As2Cl9 at its relaxed geometry, as listed in Alexandria via LeMat-Bulk.

a = 7.5825 Å, b = 7.5825 Å, c = 18.6967 Å
α = 90.00°, β = 90.00°, γ = 120.00°
Atoms (fractional coordinates):
Cs1 0.0000 0.0000 0.2500
Cs2 0.0000 0.0000 0.7500
Cs3 0.3333 0.6667 0.0900
Cs4 0.3333 0.6667 0.4100
Cs5 0.6667 0.3333 0.5900
Cs6 0.6667 0.3333 0.9100
As1 0.3333 0.6667 0.6554
As2 0.3333 0.6667 0.8446
As3 0.6667 0.3333 0.1554
As4 0.6667 0.3333 0.3446
Cl1 0.0102 0.5051 0.7500
Cl2 0.1820 0.3640 0.5870
Cl3 0.1820 0.3640 0.9130
Cl4 0.1820 0.8180 0.5870
Cl5 0.1820 0.8180 0.9130
Cl6 0.3640 0.1820 0.0870
Cl7 0.3640 0.1820 0.4130
Cl8 0.4949 0.5051 0.7500
Cl9 0.4949 0.9898 0.7500
Cl10 0.5051 0.0102 0.2500
Cl11 0.5051 0.4949 0.2500
Cl12 0.6360 0.8180 0.5870
Cl13 0.6360 0.8180 0.9130
Cl14 0.8180 0.1820 0.0870
Cl15 0.8180 0.1820 0.4130
Cl16 0.8180 0.6360 0.0870
Cl17 0.8180 0.6360 0.4130
Cl18 0.9898 0.4949 0.2500

Calculated values
- ΔE_f (raw) (meV per atom) = -1322
- space group = No. 194

***

[8]
First-principles (PBE-GGA) data for crystalline Cs3AsCl6 at its relaxed geometry, as listed in Alexandria via LeMat-Bulk.

a = 9.3886 Å, b = 9.3886 Å, c = 9.3886 Å
α = 91.22°, β = 91.22°, γ = 91.22°
Atoms (fractional coordinates):
Cs1 0.0665 0.7499 0.5685
Cs2 0.2501 0.4315 0.9335
Cs3 0.4315 0.9335 0.2501
Cs4 0.5685 0.0665 0.7499
Cs5 0.7499 0.5685 0.0665
Cs6 0.9335 0.2501 0.4315
As1 0.0000 0.0000 0.0000
As2 0.5000 0.5000 0.5000
Cl1 0.0480 0.7409 0.9370
Cl2 0.0630 0.9520 0.2591
Cl3 0.2465 0.4237 0.5568
Cl4 0.2591 0.0630 0.9520
Cl5 0.4237 0.5568 0.2465
Cl6 0.4432 0.7535 0.5763
Cl7 0.5568 0.2465 0.4237
Cl8 0.5763 0.4432 0.7535
Cl9 0.7409 0.9370 0.0480
Cl10 0.7535 0.5763 0.4432
Cl11 0.9370 0.0480 0.7409
Cl12 0.9520 0.2591 0.0630

Calculated values
- ΔE_f (raw) (meV per atom) = -1482
- space group = No. 148

***

- The lowest ΔE_f (raw) belongs to which entry?
  Cs3AsCl6

***

- Which formula does entry 1 have?
  Cs5AsCl

***

- Among the records above, which one has the highest ΔE_f (raw)?
  Cs5AsCl